A plane-wave DFT calculation with PBE-GGA was carried out for an optimized crystal structure of Ce3Ga4.

a b c (Å): 4.231 10.984 14.078
angles (deg): 90.00 90.00 90.00
Space group Cmcm (No. 63)
Symmetry-distinct sites (fractional):
1 Ce 0.000 0.008 0.250 (multiplicity 4)
2 Ce 0.000 0.290 0.599 (multiplicity 8)
3 Ga 0.000 0.000 0.000 (multiplicity 4)
4 Ga 0.000 0.284 0.250 (multiplicity 4)
5 Ga 0.000 0.423 0.100 (multiplicity 8)

The polymorph energy (0 for the lowest one) comes out at 0.050 eV/atom. As for the total energy: -0.17409 hartree per atom. The calculation puts the total magnetic moment at 9.93 μB per cell. The value obtained for the formation energy is -45 kJ/mol of atoms.